[1]
Entry from Alexandria via LeMat-Bulk: a geometry-optimized Cd2FeRe structure (GGA-PBE).

Its calculated density is 11.57 g/cm3. For the energy above the most stable polymorph in this dataset, the calculation gives 0.295 eV/atom. The calculation puts the formation energy from the elements at 540.9 meV/atom. The crystal system is trigonal.

The structure belongs to space group R-3m (No. 166, hexagonal axes); the cell edges are 2.8436, 2.8436 and 28.7146 Å and the angles 90.00°, 90.00° and 120.00°. The asymmetric unit holds Cd at (0.0000, 0.0000, 0.2475), Fe at (0.0000, 0.0000, 0.5000) and Re at (0.0000, 0.0000, 0.0000).

---

[2]
Entry from Alexandria via LeMat-Bulk: a geometry-optimized CdFeRe2 structure (GGA-PBE).

Its calculated density is 14.64 g/cm3. The calculation puts the formation energy from the elements at 407.4 meV/atom. The crystal system is monoclinic.

The structure belongs to space group C2/m (No. 12); the cell edges are 9.9831, 2.7616 and 4.6489 Å and the angles 90.00°, 106.90° and 90.00°. The asymmetric unit holds Cd at (0.0000, 0.0000, 0.0000), Fe at (0.0000, 0.5000, 0.5000) and Re at (0.2234, 0.0000, 0.7271).

---

[3]
Entry from Alexandria via LeMat-Bulk: a geometry-optimized Cd2FeRe structure (GGA-PBE).

Its calculated density is 11.62 g/cm3. For the energy above the most stable polymorph in this dataset, the calculation gives 0.352 eV/atom. The calculation puts the formation energy from the elements at 597.3 meV/atom. The crystal system is monoclinic.

The structure belongs to space group P2/m (No. 10); the cell edges are 2.7180, 4.6362 and 5.4044 Å and the angles 90.00°, 101.58° and 90.00°. The asymmetric unit holds Cd at (0.2012, 0.0000, 0.2551), Fe at (0.0000, 0.5000, 0.5000) and Re at (0.5000, 0.5000, 0.0000).

---

[4]
Entry from Alexandria via LeMat-Bulk: a geometry-optimized Cd2FeRe structure (GGA-PBE).

Its calculated density is 11.36 g/cm3. For the energy above the most stable polymorph in this dataset, the calculation gives 0.113 eV/atom. The calculation puts the formation energy from the elements at 358.4 meV/atom. The crystal system is orthorhombic.

The structure belongs to space group Cmm2 (No. 35); the cell edges are 3.0987, 4.6154 and 9.5449 Å and the angles 90.00°, 90.00° and 90.00°. The asymmetric unit holds Cd at (0.0000, 0.0000, 0.0000), Cd at (0.0000, 0.5000, 0.2926), Fe at (0.0000, 0.0000, 0.5362) and Re at (0.0000, 0.5000, 0.7376).